No. 1
{"formula": "LaSc2Tl", "functional": "GGA-PBE", "state": "relaxed", "lattice_angstrom": [[5.253, 0.000, 0.000], [0.000, 5.253, 0.000], [0.000, 0.000, 3.729]], "species": ["La", "Sc", "Sc", "Tl"], "fractional_positions": [[0.000, 0.000, 0.000], [0.000, 0.500, 0.500], [0.500, 0.000, 0.500], [0.500, 0.500, 0.000]], "space_group": "No. 123", "e_above_lowest_polymorph_mev_per_atom": 81.7, "magmom_total_mub_per_fu": 0.25, "density_g_cm3": 6.99, "dos_ef_per_ev_fu": 6.51, "delta_e_f_ev_per_atom": -0.045}


No. 2
{"formula": "La2ScTl", "functional": "GGA-PBE", "state": "relaxed", "lattice_angstrom": [[1.799, 1.039, 11.283], [-1.799, 1.039, 11.283], [0.000, -2.077, 11.283]], "species": ["La", "La", "Sc", "Tl"], "fractional_positions": [[0.248, 0.248, 0.248], [0.752, 0.752, 0.752], [0.500, 0.500, 0.500], [0.000, 0.000, 0.000]], "space_group": "No. 166", "e_above_lowest_polymorph_mev_per_atom": 147.5, "magmom_total_mub_per_fu": 0.00, "density_g_cm3": 6.92, "dos_ef_per_ev_fu": 4.18, "delta_e_f_ev_per_atom": -0.041}


No. 3
{"formula": "LaSc3Tl", "functional": "GGA-PBE", "state": "relaxed", "lattice_angstrom": [[5.254, 0.000, 0.000], [0.000, 5.254, 0.000], [0.000, 0.000, 5.254]], "species": ["La", "Sc", "Sc", "Sc", "Tl"], "fractional_positions": [[0.000, 0.000, 0.000], [0.000, 0.000, 0.500], [0.000, 0.500, 0.000], [0.500, 0.000, 0.000], [0.500, 0.500, 0.500]], "space_group": "No. 221", "e_above_lowest_polymorph_mev_per_atom": 467.5, "magmom_total_mub_per_fu": 0.00, "density_g_cm3": 5.48, "dos_ef_per_ev_fu": 6.89, "delta_e_f_ev_per_atom": 0.837}


No. 4
{"formula": "La2ScTl", "functional": "GGA-PBE", "state": "relaxed", "lattice_angstrom": [[5.193, 0.000, 0.000], [-2.597, 4.498, 0.000], [0.000, 0.000, 5.995]], "species": ["La", "La", "Sc", "Tl"], "fractional_positions": [[0.333, 0.667, 0.245], [0.667, 0.333, 0.755], [0.000, 0.000, 0.000], [0.000, 0.000, 0.500]], "space_group": "No. 164", "e_above_lowest_polymorph_mev_per_atom": 318.5, "magmom_total_mub_per_fu": 0.00, "density_g_cm3": 6.25, "dos_ef_per_ev_fu": 5.13, "delta_e_f_ev_per_atom": 0.130}


No. 5
{"formula": "La2ScTl", "functional": "GGA-PBE", "state": "relaxed", "lattice_angstrom": [[1.796, 1.037, 11.252], [-1.796, 1.037, 11.252], [0.000, -2.074, 11.252]], "species": ["La", "La", "Sc", "Tl"], "fractional_positions": [[0.000, 0.000, 0.000], [0.163, 0.163, 0.163], [0.748, 0.748, 0.748], [0.582, 0.582, 0.582]], "space_group": "No. 160", "e_above_lowest_polymorph_mev_per_atom": 134.6, "magmom_total_mub_per_fu": 0.01, "density_g_cm3": 6.96, "dos_ef_per_ev_fu": 5.68, "delta_e_f_ev_per_atom": -0.054}


No. 6
{"formula": "La2ScTl", "functional": "GGA-PBE", "state": "relaxed", "lattice_angstrom": [[5.877, -1.754, 0.000], [5.877, 1.754, 0.000], [-0.786, 0.000, 5.799]], "species": ["La", "La", "Sc", "Tl"], "fractional_positions": [[0.241, 0.241, 0.236], [0.759, 0.759, 0.764], [0.000, 0.000, 0.500], [0.500, 0.500, 0.000]], "space_group": "No. 12", "e_above_lowest_polymorph_mev_per_atom": 135.0, "magmom_total_mub_per_fu": 0.00, "density_g_cm3": 7.32, "dos_ef_per_ev_fu": 5.75, "delta_e_f_ev_per_atom": -0.053}


No. 7
{"formula": "La2Sc2Tl", "functional": "GGA-PBE", "state": "relaxed", "lattice_angstrom": [[8.884, 0.000, 0.000], [0.000, 8.884, 0.000], [0.000, 0.000, 3.695]], "species": ["La", "La", "La", "La", "Sc", "Sc", "Sc", "Sc", "Tl", "Tl"], "fractional_positions": [[0.182, 0.318, 0.000], [0.318, 0.818, 0.000], [0.682, 0.182, 0.000], [0.818, 0.682, 0.000], [0.120, 0.620, 0.500], [0.380, 0.120, 0.500], [0.620, 0.880, 0.500], [0.880, 0.380, 0.500], [0.000, 0.000, 0.500], [0.500, 0.500, 0.500]], "space_group": "No. 127", "magmom_total_mub_per_fu": 0.00, "density_g_cm3": 6.52, "dos_ef_per_ev_fu": 4.37, "delta_e_f_ev_per_atom": 0.044}


No. 8
{"formula": "La2ScTl", "functional": "GGA-PBE", "state": "relaxed", "lattice_angstrom": [[3.620, 0.000, 0.000], [0.000, 3.620, 0.000], [0.000, 0.000, 9.231]], "species": ["La", "La", "Sc", "Tl"], "fractional_positions": [[0.000, 0.000, 0.000], [0.500, 0.500, 0.305], [0.000, 0.000, 0.555], [0.500, 0.500, 0.746]], "space_group": "No. 99", "e_above_lowest_polymorph_mev_per_atom": 34.5, "magmom_total_mub_per_fu": 0.00, "density_g_cm3": 7.24, "dos_ef_per_ev_fu": 4.78, "delta_e_f_ev_per_atom": -0.154}


No. 9
{"formula": "LaSc2Tl", "functional": "GGA-PBE", "state": "relaxed", "lattice_angstrom": [[3.494, 0.000, 0.000], [0.000, 5.040, 0.000], [-1.515, 0.000, 6.290]], "species": ["La", "Sc", "Sc", "Tl"], "fractional_positions": [[0.000, 0.000, 0.000], [0.340, 0.500, 0.729], [0.660, 0.500, 0.271], [0.500, 0.000, 0.500]], "space_group": "No. 10", "e_above_lowest_polymorph_mev_per_atom": 51.1, "magmom_total_mub_per_fu": 0.01, "density_g_cm3": 6.49, "dos_ef_per_ev_fu": 6.02, "delta_e_f_ev_per_atom": -0.076}


No. 10
{"formula": "La14ScTl", "functional": "GGA-PBE", "state": "relaxed", "lattice_angstrom": [[10.432, 0.000, 0.000], [0.000, 5.154, 5.147], [0.000, -5.154, 5.147]], "species": ["La", "La", "La", "La", "La", "La", "La", "La", "La", "La", "La", "La", "La", "La", "Sc", "Tl"], "fractional_positions": [[0.000, 0.000, 0.000], [0.000, 0.000, 0.499], [0.000, 0.499, 0.000], [0.000, 0.499, 0.499], [0.256, 0.749, 0.749], [0.257, 0.249, 0.750], [0.257, 0.250, 0.250], [0.257, 0.750, 0.249], [0.500, 0.500, 0.999], [0.500, 0.999, 0.500], [0.743, 0.249, 0.750], [0.743, 0.250, 0.250], [0.743, 0.750, 0.249], [0.744, 0.749, 0.749], [0.500, 0.999, 0.999], [0.500, 0.500, 0.500]], "space_group": "No. 38", "magmom_total_mub_per_fu": 0.00, "density_g_cm3": 6.58, "dos_ef_per_ev_fu": 21.92, "delta_e_f_ev_per_atom": -0.041}


No. 11
{"formula": "La2ScTl", "functional": "GGA-PBE", "state": "relaxed", "lattice_angstrom": [[-2.430, 2.430, 5.016], [2.430, -2.430, 5.016], [2.430, 2.430, -5.016]], "species": ["La", "La", "Sc", "Tl"], "fractional_positions": [[0.000, 0.000, 0.000], [0.750, 0.250, 0.500], [0.250, 0.750, 0.500], [0.500, 0.500, 0.000]], "space_group": "No. 119", "e_above_lowest_polymorph_mev_per_atom": 34.0, "magmom_total_mub_per_fu": 0.00, "density_g_cm3": 7.39, "dos_ef_per_ev_fu": 6.35, "delta_e_f_ev_per_atom": -0.154}


No. 12
{"formula": "LaTm2ScTl4", "functional": "GGA-PBE", "state": "relaxed", "lattice_angstrom": [[2.667, 1.540, 8.833], [-2.667, 1.540, 8.833], [0.000, -3.079, 8.833]], "species": ["La", "Tm", "Tm", "Sc", "Tl", "Tl", "Tl", "Tl"], "fractional_positions": [[0.000, 0.000, 0.000], [0.248, 0.248, 0.248], [0.752, 0.752, 0.752], [0.500, 0.500, 0.500], [0.129, 0.129, 0.129], [0.380, 0.380, 0.380], [0.620, 0.620, 0.620], [0.871, 0.871, 0.871]], "space_group": "No. 166", "magmom_total_mub_per_fu": 0.00, "density_g_cm3": 10.22, "dos_ef_per_ev_fu": 6.52, "delta_e_f_ev_per_atom": -0.297}


No. 13
{"formula": "LaTmSc2Tl4", "functional": "GGA-PBE", "state": "relaxed", "lattice_angstrom": [[2.646, 1.528, 8.722], [-2.646, 1.528, 8.722], [0.000, -3.056, 8.722]], "species": ["La", "Tm", "Sc", "Sc", "Tl", "Tl", "Tl", "Tl"], "fractional_positions": [[0.000, 0.000, 0.000], [0.500, 0.500, 0.500], [0.249, 0.249, 0.249], [0.751, 0.751, 0.751], [0.128, 0.128, 0.128], [0.379, 0.379, 0.379], [0.621, 0.621, 0.621], [0.872, 0.872, 0.872]], "space_group": "No. 166", "magmom_total_mub_per_fu": 0.00, "density_g_cm3": 9.54, "dos_ef_per_ev_fu": 6.97, "delta_e_f_ev_per_atom": -0.288}


No. 14
{"formula": "LaScTlV2", "functional": "GGA-PBE", "state": "relaxed", "lattice_angstrom": [[4.641, 0.000, 0.000], [0.000, 4.641, 0.000], [0.000, 0.000, 5.121]], "species": ["La", "Sc", "Tl", "V", "V"], "fractional_positions": [[0.000, 0.000, 0.000], [0.000, 0.000, 0.500], [0.500, 0.500, 0.500], [0.000, 0.500, 0.000], [0.500, 0.000, 0.000]], "space_group": "No. 123", "magmom_total_mub_per_fu": 0.00, "density_g_cm3": 7.38, "dos_ef_per_ev_fu": 4.74, "delta_e_f_ev_per_atom": 1.314}


No. 15
{"formula": "LaYSc2Tl4", "functional": "GGA-PBE", "state": "relaxed", "lattice_angstrom": [[2.656, 1.533, 8.723], [-2.656, 1.533, 8.723], [0.000, -3.066, 8.723]], "species": ["La", "Y", "Sc", "Sc", "Tl", "Tl", "Tl", "Tl"], "fractional_positions": [[0.000, 0.000, 0.000], [0.500, 0.500, 0.500], [0.249, 0.249, 0.249], [0.751, 0.751, 0.751], [0.127, 0.127, 0.127], [0.378, 0.378, 0.378], [0.622, 0.622, 0.622], [0.873, 0.873, 0.873]], "space_group": "No. 166", "magmom_total_mub_per_fu": 0.00, "density_g_cm3": 8.85, "dos_ef_per_ev_fu": 6.92, "delta_e_f_ev_per_atom": -0.308}


No. 16
{"formula": "La2YScTl2", "functional": "GGA-PBE", "state": "relaxed", "lattice_angstrom": [[4.982, 0.000, 0.000], [0.000, 10.059, 0.000], [0.000, 0.000, 7.058]], "species": ["La", "La", "La", "La", "Y", "Y", "Sc", "Sc", "Tl", "Tl", "Tl", "Tl"], "fractional_positions": [[0.000, 0.064, 0.000], [0.000, 0.936, 0.500], [0.500, 0.175, 0.234], [0.500, 0.825, 0.734], [0.500, 0.457, 0.885], [0.500, 0.543, 0.385], [0.000, 0.306, 0.581], [0.000, 0.694, 0.081], [0.000, 0.398, 0.158], [0.000, 0.602, 0.658], [0.500, 0.160, 0.708], [0.500, 0.840, 0.208]], "space_group": "No. 26", "magmom_total_mub_per_fu": 0.00, "density_g_cm3": 7.70, "dos_ef_per_ev_fu": 5.81, "delta_e_f_ev_per_atom": -0.285}


No. 17
{"formula": "LaScTlZn", "functional": "GGA-PBE", "state": "relaxed", "lattice_angstrom": [[0.000, 3.714, 3.714], [3.714, 0.000, 3.714], [3.714, 3.714, 0.000]], "species": ["La", "Sc", "Tl", "Zn"], "fractional_positions": [[0.000, 0.000, 0.000], [0.500, 0.500, 0.500], [0.750, 0.750, 0.750], [0.250, 0.250, 0.250]], "space_group": "No. 216", "magmom_total_mub_per_fu": 0.00, "density_g_cm3": 7.35, "dos_ef_per_ev_fu": 4.73, "delta_e_f_ev_per_atom": -0.290}


No. 18
{"formula": "La8Tm2Sc", "functional": "GGA-PBE", "state": "relaxed", "lattice_angstrom": [[-2.903, 3.938, 8.407], [2.903, -3.938, 8.407], [2.903, 3.938, -8.407]], "species": ["La", "La", "La", "La", "La", "La", "La", "La", "Tm", "Tm", "Sc"], "fractional_positions": [[0.166, 0.371, 0.795], [0.172, 0.172, 0.000], [0.277, 0.000, 0.277], [0.424, 0.629, 0.795], [0.576, 0.371, 0.205], [0.723, 0.000, 0.723], [0.828, 0.828, 0.000], [0.834, 0.629, 0.205], [0.301, 0.801, 0.500], [0.699, 0.199, 0.500], [0.000, 0.500, 0.500]], "space_group": "No. 71", "magmom_total_mub_per_fu": 0.00, "density_g_cm3": 6.45, "dos_ef_per_ev_fu": 16.81, "delta_e_f_ev_per_atom": 0.105}


No. 19
{"formula": "La5Tm4Sc", "functional": "GGA-PBE", "state": "relaxed", "lattice_angstrom": [[3.748, 0.000, 0.000], [0.000, 3.748, 0.000], [0.000, 0.000, 23.360]], "species": ["La", "La", "La", "La", "La", "Tm", "Tm", "Tm", "Tm", "Sc"], "fractional_positions": [[0.000, 0.000, 0.000], [0.000, 0.000, 0.204], [0.000, 0.000, 0.407], [0.000, 0.000, 0.593], [0.000, 0.000, 0.796], [0.500, 0.500, 0.102], [0.500, 0.500, 0.305], [0.500, 0.500, 0.695], [0.500, 0.500, 0.898], [0.500, 0.500, 0.500]], "space_group": "No. 123", "magmom_total_mub_per_fu": 0.00, "density_g_cm3": 7.16, "dos_ef_per_ev_fu": 13.73, "delta_e_f_ev_per_atom": 0.034}


No. 20
{"formula": "La4Tm2Sc", "functional": "GGA-PBE", "state": "relaxed", "lattice_angstrom": [[6.225, 0.000, 0.000], [2.032, 7.739, 0.000], [0.029, 0.009, 9.555]], "species": ["La", "La", "La", "La", "La", "La", "La", "La", "Tm", "Tm", "Tm", "Tm", "Sc", "Sc"], "fractional_positions": [[0.000, 0.000, 0.000], [0.005, 0.499, 0.507], [0.295, 0.135, 0.295], [0.428, 0.216, 0.936], [0.573, 0.774, 0.078], [0.581, 0.287, 0.581], [0.713, 0.846, 0.719], [0.863, 0.921, 0.364], [0.146, 0.565, 0.147], [0.150, 0.064, 0.650], [0.289, 0.638, 0.790], [0.717, 0.359, 0.219], [0.429, 0.707, 0.433], [0.865, 0.426, 0.865]], "space_group": "No. 1", "magmom_total_mub_per_fu": 0.00, "density_g_cm3": 6.77, "dos_ef_per_ev_fu": 10.82, "delta_e_f_ev_per_atom": 0.046}